[1]
# KYCo2

An optimized crystal structure of KYCo2 (PBE, Alexandria via LeMat-Bulk).

Structure (POSCAR):
```
KYCo2
1.0
-2.3960 2.3960 3.3979
2.3960 -2.3960 3.3979
2.3960 2.3960 -3.3979
K Y Co
1 1 2
Direct
0.0000 0.0000 0.0000 K
0.2500 0.7500 0.5000 Y
0.5000 0.5000 0.0000 Co
0.7500 0.2500 0.5000 Co
```

Values from the calculation:
Crystal system ... tetragonal
Formation enthalpy at 0 K ... 0.94 eV per atom
Energy above the lowest structure with this stoichiometry ... 710 meV per atom

[2]
# KZnCo3

An optimized crystal structure of KZnCo3 (PBE, Alexandria via LeMat-Bulk).

Structure (POSCAR):
```
KZnCo3
1.0
4.6313 0.0000 0.0000
0.0000 4.6313 0.0000
0.0000 0.0000 4.6313
K Zn Co
1 1 3
Direct
0.0000 0.0000 0.0000 K
0.5000 0.5000 0.5000 Zn
0.0000 0.5000 0.5000 Co
0.5000 0.0000 0.5000 Co
0.5000 0.5000 0.0000 Co
```

Values from the calculation:
Crystal system ... cubic
Formation enthalpy at 0 K ... 1.23 eV per atom
Energy above the lowest structure with this stoichiometry ... 0 meV per atom

[3]
# K3ZnCo

An optimized crystal structure of K3ZnCo (PBE, Alexandria via LeMat-Bulk).

Structure (POSCAR):
```
K3ZnCo
1.0
6.1878 0.0000 0.0000
0.0000 6.1878 0.0000
0.0000 0.0000 6.1878
K Zn Co
3 1 1
Direct
0.0000 0.0000 0.5000 K
0.0000 0.5000 0.0000 K
0.5000 0.0000 0.0000 K
0.5000 0.5000 0.5000 Zn
0.0000 0.0000 0.0000 Co
```

Values from the calculation:
Crystal system ... cubic
Formation enthalpy at 0 K ... 0.88 eV per atom

Q: Which of these has the highest formation enthalpy at 0 K?
A: KZnCo3